No. 1
The following is a DFT calculation (GGA-PBE) of a relaxed structure of Cu3Ag7.

Structure (CIF):
```
data_Cu3Ag7
_cell_length_a 4.803
_cell_length_b 2.898
_cell_length_c 11.661
_cell_angle_alpha 90.00
_cell_angle_beta 91.26
_cell_angle_gamma 90.00
_symmetry_space_group_name_H-M 'P 1 m 1'
_symmetry_Int_Tables_number 6
_symmetry_space_group_name_Hall 'P -2y'
loop_
_atom_site_label
_atom_site_type_symbol
_atom_site_fract_x
_atom_site_fract_y
_atom_site_fract_z
Cu1 Cu 0.000 0.000 0.000
Cu2 Cu 0.127 0.500 0.828
Cu3 Cu 0.363 0.500 0.436
Ag1 Ag 0.231 0.000 0.630
Ag2 Ag 0.426 0.000 0.243
Ag3 Ag 0.483 0.500 0.026
Ag4 Ag 0.629 0.000 0.823
Ag5 Ag 0.734 0.500 0.616
Ag6 Ag 0.876 0.000 0.411
Ag7 Ag 0.931 0.500 0.194
```

No. 2
The following is a DFT calculation (GGA-PBE) of a relaxed structure of Cu3Ag4.

Structure (CIF):
```
data_Cu3Ag4
_cell_length_a 11.312
_cell_length_b 2.835
_cell_length_c 6.972
_cell_angle_alpha 90.00
_cell_angle_beta 106.38
_cell_angle_gamma 90.00
_symmetry_space_group_name_H-M 'C 1 2/m 1'
_symmetry_Int_Tables_number 12
_symmetry_space_group_name_Hall '-C 2y'
loop_
_atom_site_label
_atom_site_type_symbol
_atom_site_fract_x
_atom_site_fract_y
_atom_site_fract_z
Cu1 Cu 0.000 0.000 0.000
Cu2 Cu 0.074 0.500 0.754
Ag1 Ag 0.125 0.000 0.449
Ag2 Ag 0.210 0.500 0.152
```

no.,relative energy among the computed polymorphs (meV/atom)
1,48
2,34